This record from the Alexandria database describes crystalline Y6Ho2Er3Sc at its relaxed geometry. The functional is PBE-GGA. Values from VASP.

Quantum ESPRESSO input file:
```
&SYSTEM
  ibrav = 0, nat = 12, ntyp = 4
/
ATOMIC_SPECIES
Y 88.91 Y.upf
Sc 44.96 Sc.upf
Ho 164.93 Ho.upf
Er 167.26 Er.upf
CELL_PARAMETERS angstrom
6.099 0.002 -0.001
-3.046 5.284 -0.001
-1.013 -1.754 11.500
ATOMIC_POSITIONS crystal
Y 0.082 0.413 0.248
Y 0.587 0.918 0.752
Y 0.413 0.082 0.248
Y 0.249 0.249 0.752
Y 0.918 0.587 0.752
Y 0.751 0.751 0.248
Sc 0.000 0.000 0.000
Ho 0.333 0.667 0.000
Ho 0.667 0.333 0.000
Er 0.500 0.500 0.500
Er 0.166 0.834 0.500
Er 0.834 0.166 0.500
```

ΔH_f (0 K) = 0.81 kcal/mol of atoms
theoretical density = 6.3 Mg/m³
SG = C2/m, No. 12
DFT total energy = -5.628 eV/atom



This record from the Alexandria database describes crystalline CsNb2S4 at its relaxed geometry. The functional is PBE-GGA. Values from VASP.

Quantum ESPRESSO input file:
```
&SYSTEM
  ibrav = 0, nat = 14, ntyp = 3
/
ATOMIC_SPECIES
S 32.06 S.upf
Cs 132.91 Cs.upf
Nb 92.91 Nb.upf
CELL_PARAMETERS angstrom
3.753 0.000 0.000
-1.877 6.362 0.000
0.000 0.000 12.888
ATOMIC_POSITIONS crystal
S 0.906 0.812 0.750
S 0.246 0.492 0.910
S 0.500 0.000 0.000
S 0.246 0.492 0.590
S 0.500 0.000 0.500
S 0.754 0.508 0.090
S 0.754 0.508 0.410
S 0.094 0.188 0.250
Cs 0.614 0.229 0.750
Cs 0.386 0.771 0.250
Nb 0.880 0.760 0.565
Nb 0.880 0.760 0.935
Nb 0.120 0.240 0.435
Nb 0.120 0.240 0.065
```

energy relative to the lowest polymorph listed for this composition = 0.359 eV/atom
theoretical density = 4.8 Mg/m³
SG = Cmcm, No. 63
DFT total energy = -6.219 eV/atom



This record from the Alexandria database describes crystalline Ac6Ge3Os at its relaxed geometry. The functional is PBE-GGA. Values from VASP.

Quantum ESPRESSO input file:
```
&SYSTEM
  ibrav = 0, nat = 20, ntyp = 3
/
ATOMIC_SPECIES
Ge 72.64 Ge.upf
Ac 227.00 Ac.upf
Os 190.23 Os.upf
CELL_PARAMETERS angstrom
-7.804 -3.018 -3.791
3.908 -8.133 1.724
-3.186 1.791 8.428
ATOMIC_POSITIONS crystal
Ge 0.381 0.884 0.714
Ge 0.714 0.381 0.884
Ge 0.884 0.714 0.381
Ge 0.116 0.286 0.619
Ge 0.286 0.619 0.116
Ge 0.619 0.116 0.286
Ac 0.068 0.314 0.954
Ac 0.429 0.193 0.558
Ac 0.932 0.686 0.046
Ac 0.442 0.571 0.807
Ac 0.314 0.954 0.068
Ac 0.954 0.068 0.314
Ac 0.571 0.807 0.442
Ac 0.807 0.442 0.571
Ac 0.686 0.046 0.932
Ac 0.193 0.558 0.429
Ac 0.046 0.932 0.686
Ac 0.558 0.429 0.193
Os 0.000 0.000 0.000
Os 0.500 0.500 0.500
```

ΔH_f (0 K) = -8.22 kcal/mol of atoms
theoretical density = 7.9 Mg/m³
SG = R-3, No. 148
DFT total energy = -5.330 eV/atom



This record from the Alexandria database describes crystalline Ac2AgC at its relaxed geometry. The functional is PBE-GGA. Values from VASP.

Quantum ESPRESSO input file:
```
&SYSTEM
  ibrav = 0, nat = 4, ntyp = 3
/
ATOMIC_SPECIES
Ag 107.87 Ag.upf
C 12.01 C.upf
Ac 227.00 Ac.upf
CELL_PARAMETERS angstrom
-0.483 -3.113 2.433
-1.026 -3.548 -1.486
7.401 -4.136 -0.567
ATOMIC_POSITIONS crystal
Ag 0.500 0.500 0.500
C 0.000 0.000 0.000
Ac 0.270 0.270 0.189
Ac 0.730 0.730 0.811
```

ΔH_f (0 K) = 0.85 kcal/mol of atoms
theoretical density = 8.5 Mg/m³
SG = R-3m, No. 166
DFT total energy = -5.036 eV/atom



This record from the Alexandria database describes crystalline Pa2Si2Tc at its relaxed geometry. The functional is PBE-GGA. Values from VASP.

Quantum ESPRESSO input file:
```
&SYSTEM
  ibrav = 0, nat = 20, ntyp = 3
/
ATOMIC_SPECIES
Pa 231.04 Pa.upf
Tc 98.00 Tc.upf
Si 28.09 Si.upf
CELL_PARAMETERS angstrom
6.572 0.000 0.000
0.000 6.572 0.000
0.000 0.000 8.844
ATOMIC_POSITIONS crystal
Pa 0.826 0.327 0.500
Pa 0.673 0.826 0.500
Pa 0.327 0.174 0.500
Pa 0.827 0.326 0.000
Pa 0.174 0.673 0.500
Pa 0.674 0.827 0.000
Pa 0.173 0.674 0.000
Pa 0.326 0.173 0.000
Tc 0.000 0.000 0.250
Tc 0.000 0.000 0.750
Tc 0.500 0.500 0.750
Tc 0.500 0.500 0.250
Si 0.369 0.869 0.750
Si 0.869 0.631 0.750
Si 0.369 0.869 0.250
Si 0.131 0.369 0.250
Si 0.631 0.131 0.750
Si 0.131 0.369 0.750
Si 0.869 0.631 0.250
Si 0.631 0.131 0.250
```

energy relative to the lowest polymorph listed for this composition = 0.049 eV/atom
theoretical density = 10.7 Mg/m³
SG = P4/mbm, No. 127
DFT total energy = -8.647 eV/atom



This record from the Alexandria database describes crystalline Cs2ErAs2S6 at its relaxed geometry. The functional is PBE-GGA. Values from VASP.

Quantum ESPRESSO input file:
```
&SYSTEM
  ibrav = 0, nat = 11, ntyp = 4
/
ATOMIC_SPECIES
S 32.06 S.upf
As 74.92 As.upf
Cs 132.91 Cs.upf
Er 167.26 Er.upf
CELL_PARAMETERS angstrom
7.177 0.000 0.000
-3.589 6.195 -0.195
0.000 -3.821 7.702
ATOMIC_POSITIONS crystal
S 0.781 0.068 0.764
S 0.713 0.932 0.236
S 0.742 0.484 0.614
S 0.219 0.932 0.236
S 0.258 0.516 0.386
S 0.287 0.068 0.764
As 0.943 0.887 0.802
As 0.057 0.113 0.198
Cs 0.709 0.418 0.186
Cs 0.291 0.582 0.814
Er 0.500 0.000 0.500
```

theoretical density = 3.8 Mg/m³
SG = C2/m, No. 12
DFT total energy = -4.497 eV/atom